[1]
This record from OQMD via LeMat-Bulk describes a geometry-optimized SrPd3Pt2 structure. The functional is GGA-PBE.

symmetry: P6/mmm (191)
E_tot: -31.7 eV for the cell shown
magnetization: 0.0 μB per formula unit

Unit cell a=5.472 b=5.472 c=4.399 alpha=90.00 beta=90.00 gamma=120.00
Sites, in units of the cell vectors:
Pd 0.500 0.000 0.500
Pd 0.000 0.500 0.500
Pd 0.500 0.500 0.500
Pt 0.667 0.333 0.000
Pt 0.333 0.667 0.000
Sr 0.000 0.000 0.000

---

[2]
This record from OQMD via LeMat-Bulk describes a geometry-optimized TcBiNO structure. The functional is GGA-PBE.

symmetry: Pca2_1 (29)
E_tot: -111.8 eV for the cell shown
ΔE to the lowest computed polymorph: 0.176 eV/atom
magnetization: 0.2 μB per formula unit

Unit cell a=5.058 b=7.421 c=6.310 alpha=90.00 beta=90.00 gamma=90.00
Sites, in units of the cell vectors:
Bi 0.974 0.675 0.058
Bi 0.474 0.675 0.442
Bi 0.974 0.325 0.558
Bi 0.474 0.325 0.942
N 0.013 0.366 0.009
N 0.513 0.366 0.491
N 0.013 0.634 0.509
N 0.513 0.634 0.991
O 0.697 0.983 0.115
O 0.197 0.983 0.385
O 0.697 0.017 0.615
O 0.197 0.017 0.885
Tc 0.018 0.151 0.162
Tc 0.518 0.151 0.338
Tc 0.018 0.849 0.662
Tc 0.518 0.849 0.838

---

[3]
This record from OQMD via LeMat-Bulk describes a geometry-optimized GaFe2Mo structure. The functional is GGA-PBE.

symmetry: F-43m (216)
E_tot: -30.4 eV for the cell shown
magnetization: 3.6 μB per formula unit

Unit cell a=4.208 b=4.208 c=4.208 alpha=60.00 beta=60.00 gamma=60.00
Sites, in units of the cell vectors:
Fe 0.000 0.000 0.000
Fe 0.750 0.750 0.750
Ga 0.500 0.500 0.500
Mo 0.250 0.250 0.250

---

[4]
This record from OQMD via LeMat-Bulk describes a geometry-optimized Lu2GePt structure. The functional is GGA-PBE.

symmetry: F-43m (216)
E_tot: -21.3 eV for the cell shown
magnetization: 0.0 μB per formula unit

Unit cell a=4.867 b=4.867 c=4.867 alpha=60.00 beta=60.00 gamma=60.00
Sites, in units of the cell vectors:
Ge 0.500 0.500 0.500
Lu 0.000 0.000 0.000
Lu 0.750 0.750 0.750
Pt 0.250 0.250 0.250

---

[5]
This record from OQMD via LeMat-Bulk describes a geometry-optimized Li2TaAg structure. The functional is GGA-PBE.

symmetry: F-43m (216)
E_tot: -16.6 eV for the cell shown
magnetization: 0.0 μB per formula unit

Unit cell a=4.451 b=4.451 c=4.451 alpha=60.00 beta=60.00 gamma=60.00
Sites, in units of the cell vectors:
Ag 0.750 0.750 0.750
Li 0.250 0.250 0.250
Li 0.500 0.500 0.500
Ta 0.000 0.000 0.000

---

[6]
This record from OQMD via LeMat-Bulk describes a geometry-optimized KBe2Cd2P3 structure. The functional is GGA-PBE.

symmetry: R-3m (166)
E_tot: -27.0 eV for the cell shown
ΔE to the lowest computed polymorph: 0.132 eV/atom

Unit cell a=11.187 b=11.187 c=11.187 alpha=21.84 beta=21.84 gamma=21.84
Sites, in units of the cell vectors:
Be 0.303 0.303 0.303
Be 0.697 0.697 0.697
Cd 0.082 0.082 0.082
Cd 0.918 0.918 0.918
K 0.500 0.500 0.500
P 0.000 0.000 0.000
P 0.237 0.237 0.237
P 0.763 0.763 0.763

---

[7]
This record from OQMD via LeMat-Bulk describes a geometry-optimized MgHgPtPb structure. The functional is GGA-PBE.

symmetry: F-43m (216)
E_tot: -12.2 eV for the cell shown
ΔE to the lowest computed polymorph: 0.000 eV/atom
magnetization: 0.0 μB per formula unit

Unit cell a=4.948 b=4.948 c=4.948 alpha=60.00 beta=60.00 gamma=60.00
Sites, in units of the cell vectors:
Hg 0.000 0.000 0.000
Mg 0.750 0.750 0.750
Pb 0.250 0.250 0.250
Pt 0.500 0.500 0.500

---

[8]
This record from OQMD via LeMat-Bulk describes a geometry-optimized RbCuTe2PtS structure. The functional is GGA-PBE.

symmetry: Cmcm (63)
E_tot: -46.8 eV for the cell shown
magnetization: 0.0 μB per formula unit

Unit cell a=7.119 b=7.119 c=11.352 alpha=90.00 beta=90.00 gamma=146.58
Sites, in units of the cell vectors:
Cu 0.950 0.050 0.250
Cu 0.050 0.950 0.750
Pt 0.500 0.500 0.000
Pt 0.500 0.500 0.500
Rb 0.229 0.771 0.250
Rb 0.771 0.229 0.750
S 0.520 0.480 0.250
S 0.480 0.520 0.750
Te 0.876 0.124 0.036
Te 0.876 0.124 0.464
Te 0.124 0.876 0.536
Te 0.124 0.876 0.964